Material: Tc3Pd
Method: DFT, GGA-PBEsol
State: optimized geometry

a = 2.699 Å, b = 2.699 Å, c = 9.055 Å
α = 81.43°, β = 81.43°, γ = 60.00°
Positions (direct):
Tc 0.248 0.248 0.256
Tc 0.500 0.500 0.500
Tc 0.752 0.752 0.744
Pd 0.000 0.000 0.000

Properties
V, Å³ per atom: 14.070
Spin magnetization, μB/f.u.: 0.00
Fermi-level density of states, states/eV per cell: 3.7
Formation energy, eV/f.u.: 0.18
Energy, eV per atom: -9.894
Distance to the lowest polymorph of the same formula, eV per atom: 0.145